1.
Here is Lu2GaRu after structural relaxation from the Alexandria database. Energies are from PBEsol.

Cell and atoms, written as CIF:
```
data_Lu2GaRu
_chemical_formula_sum 'Lu8 Ga4 Ru4'
_cell_length_a 6.711
_cell_length_b 6.711
_cell_length_c 6.711
_cell_angle_alpha 90.00
_cell_angle_beta 90.00
_cell_angle_gamma 90.00
_symmetry_space_group_name_H-M 'F m -3 m'
_symmetry_Int_Tables_number 225
_symmetry_space_group_name_Hall '-F 4 2 3'
loop_
_atom_site_label
_atom_site_fract_x
_atom_site_fract_y
_atom_site_fract_z
Lu1 0.250 0.250 0.250
Ga1 0.000 0.000 0.000
Ru1 0.000 0.000 0.500
```

Results
calculated density	11.444	g cm⁻³
M_tot	0.00	Bohr magnetons per cell
crystal system	cubic
calculated formation energy	-0.514	eV per atom
V	76	Å³/f.u.

2.
Here is LuTi2Ga4 after structural relaxation from the Alexandria database. Energies are from PBEsol.

Cell and atoms, written as CIF:
```
data_LuTi2Ga4
_chemical_formula_sum 'Lu2 Ti4 Ga8'
_cell_length_a 6.610
_cell_length_b 6.610
_cell_length_c 5.367
_cell_angle_alpha 90.00
_cell_angle_beta 90.00
_cell_angle_gamma 90.00
_symmetry_space_group_name_H-M 'I 4/m m m'
_symmetry_Int_Tables_number 139
_symmetry_space_group_name_Hall '-I 4 2'
loop_
_atom_site_label
_atom_site_fract_x
_atom_site_fract_y
_atom_site_fract_z
Lu1 0.000 0.000 0.000
Ti1 0.000 0.500 0.250
Ga1 0.198 0.198 0.500
```

Results
calculated density	7.784	g cm⁻³
M_tot	0.00	Bohr magnetons per cell
crystal system	tetragonal
calculated formation energy	-0.578	eV per atom
V	117	Å³/f.u.

3.
Here is MgGa3 after structural relaxation from the Alexandria database. Energies are from PBEsol.

Cell and atoms, written as CIF:
```
data_MgGa3
_chemical_formula_sum 'Mg1 Ga3'
_cell_length_a 3.1118
_cell_length_b 3.1118
_cell_length_c 8.8864
_cell_angle_alpha 90.00
_cell_angle_beta 90.00
_cell_angle_gamma 120.00
_symmetry_space_group_name_H-M 'P -6 m 2'
_symmetry_Int_Tables_number 187
_symmetry_space_group_name_Hall 'P -6 2'
loop_
_atom_site_label
_atom_site_fract_x
_atom_site_fract_y
_atom_site_fract_z
Mg1 0.0000 0.0000 0.0000
Ga1 0.0000 0.0000 0.5000
Ga2 0.3333 0.6667 0.2602
```

Results
calculated density	5.202	g cm⁻³
M_tot	0.00	Bohr magnetons per cell
crystal system	hexagonal
calculated formation energy	-0.021	eV per atom
V	75	Å³/f.u.

4.
Here is Mg3Ga after structural relaxation from the Alexandria database. Energies are from PBEsol.

Cell and atoms, written as CIF:
```
data_Mg3Ga
_chemical_formula_sum 'Mg12 Ga4'
_cell_length_a 6.858
_cell_length_b 6.858
_cell_length_c 6.858
_cell_angle_alpha 90.00
_cell_angle_beta 90.00
_cell_angle_gamma 90.00
_symmetry_space_group_name_H-M 'F m -3 m'
_symmetry_Int_Tables_number 225
_symmetry_space_group_name_Hall '-F 4 2 3'
loop_
_atom_site_label
_atom_site_fract_x
_atom_site_fract_y
_atom_site_fract_z
Mg1 0.000 0.000 0.000
Mg2 0.250 0.250 0.250
Ga1 0.000 0.000 0.500
```

Results
calculated density	2.937	g cm⁻³
M_tot	0.00	Bohr magnetons per cell
crystal system	cubic
calculated formation energy	-0.041	eV per atom
V	81	Å³/f.u.